(1)
BaIO3 | GGA-PBE | optimized geometry

Cell: 4.6678 4.6678 4.6678 Å, 90.00 90.00 90.00°
Last column: nearest neighbours and their distance in Å.
Sites, in units of the cell vectors:
I  0.5000  0.5000  0.5000  12 O 3.30
Ba  0.0000  0.0000  0.0000  6 O 2.33
O  0.0000  0.5000  0.0000  2 Ba 2.33
O  0.0000  0.0000  0.5000  2 Ba 2.33
O  0.5000  0.0000  0.0000  2 Ba 2.33

Computed properties:
raw formation energy = 181 meV per atom

***

(2)
KNa2Hg2 | GGA-PBE | optimized geometry

Cell: 4.8931 4.8931 7.8956 Å, 71.95 71.95 90.00°
Last column: nearest neighbours and their distance in Å.
Sites, in units of the cell vectors:
Na  0.7500  0.2500  0.5000  4 Hg 3.20, 4 Na 3.46
Na  0.2500  0.7500  0.5000  4 Hg 3.20, 4 Na 3.46
K  0.0000  0.0000  0.0000  8 Hg 3.76
Hg  0.3958  0.3958  0.2083  1 Hg 2.96, 4 Na 3.20
Hg  0.6042  0.6042  0.7917  1 Hg 2.96, 4 Na 3.20

Computed properties:
energy relative to the elements = -0.97 eV per formula unit

***

(3)
NaTc3F | GGA-PBE | optimized geometry

Cell: 4.9713 4.9713 4.9713 Å, 90.00 90.00 90.00°
Last column: nearest neighbours and their distance in Å.
Sites, in units of the cell vectors:
Na  0.0000  0.0000  0.0000  6 Tc 2.49
Tc  0.0000  0.5000  0.0000  2 Na 2.49
Tc  0.0000  0.0000  0.5000  2 Na 2.49
Tc  0.5000  0.0000  0.0000  2 Na 2.49
F  0.5000  0.5000  0.5000  12 Tc 3.52

Computed properties:
raw formation energy = 2617 meV per atom

***

(4)
FeAgGe | GGA-PBE | optimized geometry

Cell: 3.7903 3.7903 6.4160 Å, 90.00 90.00 90.00°
Last column: nearest neighbours and their distance in Å.
Sites, in units of the cell vectors:
Ge  0.0000  0.5000  0.2666  4 Fe 2.42, 1 Ag 2.65
Ge  0.5000  0.0000  0.7334  4 Fe 2.42, 1 Ag 2.65
Fe  0.0000  0.0000  0.5000  4 Ge 2.42, 4 Fe 2.68
Fe  0.5000  0.5000  0.5000  4 Ge 2.42, 4 Fe 2.68
Ag  0.0000  0.5000  0.8530  5 Ge 2.65-2.79, 4 Fe 2.95
Ag  0.5000  0.0000  0.1470  5 Ge 2.65-2.79, 4 Fe 2.95

Computed properties:
energy relative to the elements = 0.33 eV per formula unit

***

no.,raw total energy (eV for the cell shown),total magnetization (μB/atom),DOS(E_F) (states/eV/f.u.)
1,-17.440,0.00,8.09
2,-5.307,0.00,2.58
3,-21.201,2.26,5.08
4,-31.208,0.39,1.12